# Ca2PuMoO6 | Alexandria | PBE with a Hubbard U | relaxed
# Theoretical density: 5.70 g cm⁻³
# Total moment: 6.00 μB/f.u.
# DOS(E_F): 0.678 states/eV/atom
# E: -7.9930 eV/atom
data_Ca2PuMoO6
_chemical_formula_sum 'Ca2 Pu1 Mo1 O6'
_cell_length_a 5.939
_cell_length_b 5.939
_cell_length_c 4.260
_cell_angle_alpha 90.00
_cell_angle_beta 90.00
_cell_angle_gamma 90.00
_symmetry_space_group_name_H-M 'P 4 m m'
_symmetry_Int_Tables_number 99
loop_
_symmetry_equiv_pos_as_xyz
'x,y,z'
'-y,x,z'
'-x,-y,z'
'y,-x,z'
'-x,y,z'
'y,x,z'
'x,-y,z'
'-y,-x,z'
loop_
_atom_site_label
_atom_site_fract_x
_atom_site_fract_y
_atom_site_fract_z
Ca1 0.000 0.500 0.000
Pu1 0.000 0.000 0.629
Mo1 0.500 0.500 0.648
O1 0.000 0.000 0.139
O2 0.254 0.254 0.698
O3 0.500 0.500 0.164